First-principles (PBE-GGA) data for a relaxed BiBr crystal, as listed in Alexandria.

- DFT total energy (Ha/atom) = -0.109
- theoretical density (g/cm³) = 6.6
- E_form (uncorrected) (eV per atom) = -0.1926
- size of the total moment (μB/cell) = 0.000
- volume (Å³ per atom) = 36.25
- DOS(E_F) (states/eV/atom) = 0.535

a = 3.5893 Å, b = 4.4661 Å, c = 9.1624 Å
α = 90.00°, β = 99.20°, γ = 90.00°
Last column: nearest neighbours and their distance in Å.
Atoms (fractional coordinates):
Bi1 0.2057 0.2500 0.3897  2 Br 2.95
Bi2 0.7943 0.7500 0.6103  2 Br 2.95
Br1 0.1197 0.7500 0.1772  2 Bi 2.95
Br2 0.8803 0.2500 0.8228  2 Bi 2.95

First-principles (PBE-GGA) data for a relaxed BiBr crystal, as listed in Alexandria.

- DFT total energy (Ha/atom) = -0.116
- theoretical density (g/cm³) = 5.6
- E_form (uncorrected) (eV per atom) = -0.3682
- size of the total moment (μB/cell) = 0.000
- volume (Å³ per atom) = 42.84

a = 4.6611 Å, b = 7.8755 Å, c = 4.6718 Å
α = 90.00°, β = 92.20°, γ = 90.00°
Last column: nearest neighbours and their distance in Å.
Atoms (fractional coordinates):
Bi1 0.2322 0.0000 0.2684  2 Br 2.92, 3 Bi 3.12-3.25
Bi2 0.7678 0.0000 0.7316  2 Br 2.92, 3 Bi 3.12-3.25
Br1 0.0000 0.3078 0.0000  2 Bi 2.92
Br2 0.5000 0.6922 0.5000  2 Bi 2.92

First-principles (PBE-GGA) data for a relaxed BiBr crystal, as listed in Alexandria.

- DFT total energy (Ha/atom) = -0.103
- theoretical density (g/cm³) = 3.8
- E_form (uncorrected) (eV per atom) = -0.0355
- size of the total moment (μB/cell) = 0.000
- volume (Å³ per atom) = 62.89
- DOS(E_F) (states/eV/atom) = 0.096

a = 10.2874 Å, b = 10.0010 Å, c = 7.6813 Å
α = 69.74°, β = 65.79°, γ = 44.47°
Last column: nearest neighbours and their distance in Å.
Atoms (fractional coordinates):
Bi1 0.0091 0.7409 0.7409  1 Bi 2.77, 2 Br 3.08
Bi2 0.2591 0.9909 0.9909  1 Bi 2.77, 2 Br 3.08
Bi3 0.7409 0.0091 0.0091  1 Bi 2.77, 2 Br 3.08
Bi4 0.9909 0.2591 0.2591  1 Bi 2.77, 2 Br 3.08
Br1 0.0356 0.0356 0.7144  4 Bi 3.08-3.45
Br2 0.2856 0.2856 0.9644  4 Bi 3.08-3.45
Br3 0.7144 0.7144 0.0356  4 Bi 3.08-3.45
Br4 0.9644 0.9644 0.2856  4 Bi 3.08-3.45

First-principles (PBE-GGA) data for a relaxed BiBr crystal, as listed in Alexandria.

- DFT total energy (Ha/atom) = -0.104
- theoretical density (g/cm³) = 4.2
- E_form (uncorrected) (eV per atom) = -0.0530
- size of the total moment (μB/cell) = 0.000
- volume (Å³ per atom) = 56.65
- DOS(E_F) (states/eV/atom) = 1.229

a = 8.3810 Å, b = 8.3810 Å, c = 8.3810 Å
α = 109.47°, β = 109.47°, γ = 109.47°
Last column: nearest neighbours and their distance in Å.
Atoms (fractional coordinates):
Bi1 0.0000 0.0000 0.2319  1 Br 2.89, 3 Bi 3.17
Bi2 0.0000 0.2319 0.0000  1 Br 2.89, 3 Bi 3.17
Bi3 0.2319 0.0000 0.0000  1 Br 2.89, 3 Bi 3.17
Bi4 0.7681 0.7681 0.7681  1 Br 2.89, 3 Bi 3.17
Br1 0.0000 0.0000 0.5769  1 Bi 2.89
Br2 0.0000 0.5769 0.0000  1 Bi 2.89
Br3 0.4231 0.4231 0.4231  1 Bi 2.89
Br4 0.5769 0.0000 0.0000  1 Bi 2.89

First-principles (PBE-GGA) data for a relaxed BiBr crystal, as listed in Alexandria.

- DFT total energy (Ha/atom) = -0.119
- theoretical density (g/cm³) = 5.9
- E_form (uncorrected) (eV per atom) = -0.4662
- size of the total moment (μB/cell) = 0.000
- volume (Å³ per atom) = 40.32

a = 7.7427 Å, b = 7.7427 Å, c = 21.5812 Å
α = 108.80°, β = 108.80°, γ = 31.95°
Last column: nearest neighbours and their distance in Å.
Atoms (fractional coordinates):
Bi1 0.0726 0.0726 0.3558  4 Br 2.94-2.95, 1 Bi 3.08
Bi2 0.1747 0.1747 0.9937  3 Bi 3.04-3.08
Bi3 0.1802 0.1802 0.5054  3 Bi 3.04-3.08
Bi4 0.2075 0.2075 0.1424  4 Br 2.94-2.95, 1 Bi 3.08
Bi5 0.7925 0.7925 0.8576  4 Br 2.94-2.95, 1 Bi 3.08
Bi6 0.8198 0.8198 0.4946  3 Bi 3.04-3.08
Bi7 0.8253 0.8253 0.0063  3 Bi 3.04-3.08
Bi8 0.9274 0.9274 0.6442  4 Br 2.94-2.95, 1 Bi 3.08
Br1 0.1476 0.1476 0.8184  2 Bi 2.95
Br2 0.3182 0.3182 0.6811  2 Bi 2.95
Br3 0.4372 0.4372 0.8902  2 Bi 2.94
Br4 0.4562 0.4562 0.3844  2 Bi 2.94
Br5 0.5438 0.5438 0.6156  2 Bi 2.94
Br6 0.5628 0.5628 0.1098  2 Bi 2.94
Br7 0.6818 0.6818 0.3189  2 Bi 2.95
Br8 0.8524 0.8524 0.1816  2 Bi 2.95

First-principles (PBE-GGA) data for a relaxed BiBr crystal, as listed in Alexandria.

- DFT total energy (Ha/atom) = -0.088
- theoretical density (g/cm³) = 4.7
- E_form (uncorrected) (eV per atom) = 0.3695
- size of the total moment (μB/cell) = 0.000
- volume (Å³ per atom) = 50.60
- DOS(E_F) (states/eV/atom) = 0.187

a = 4.9692 Å, b = 4.9692 Å, c = 9.4645 Å
α = 90.00°, β = 90.00°, γ = 120.00°
Last column: nearest neighbours and their distance in Å.
Atoms (fractional coordinates):
Bi1 0.3333 0.6667 0.0000  3 Br 2.96
Bi2 0.6667 0.3333 0.5000  3 Br 2.96
Br1 0.3333 0.6667 0.5765  3 Bi 2.96
Br2 0.6667 0.3333 0.0765  3 Bi 2.96

First-principles (PBE-GGA) data for a relaxed BiBr crystal, as listed in Alexandria.

- DFT total energy (Ha/atom) = -0.116
- theoretical density (g/cm³) = 7.1
- E_form (uncorrected) (eV per atom) = -0.3785
- size of the total moment (μB/cell) = 0.000
- volume (Å³ per atom) = 33.85
- DOS(E_F) (states/eV/atom) = 0.112

a = 6.2532 Å, b = 6.2532 Å, c = 7.7744 Å
α = 90.00°, β = 90.00°, γ = 117.04°
Last column: nearest neighbours and their distance in Å.
Atoms (fractional coordinates):
Bi1 0.0411 0.9589 0.8037  2 Br 2.85-3.00, 1 Bi 3.18
Bi2 0.4589 0.5411 0.3037  2 Br 2.85-3.00, 1 Bi 3.18
Bi3 0.5411 0.4589 0.6963  2 Br 2.85-3.00, 1 Bi 3.18
Bi4 0.9589 0.0411 0.1963  2 Br 2.85-3.00, 1 Bi 3.18
Br1 0.2003 0.7997 0.3952  2 Bi 2.85-3.00
Br2 0.2997 0.7003 0.8952  2 Bi 2.85-3.00
Br3 0.7003 0.2997 0.1048  2 Bi 2.85-3.00
Br4 0.7997 0.2003 0.6048  2 Bi 2.85-3.00

First-principles (PBE-GGA) data for a relaxed BiBr crystal, as listed in Alexandria.

- DFT total energy (Ha/atom) = -0.112
- theoretical density (g/cm³) = 6.8
- E_form (uncorrected) (eV per atom) = -0.2658
- size of the total moment (μB/cell) = 0.000
- volume (Å³ per atom) = 35.02
- DOS(E_F) (states/eV/atom) = 0.344

a = 4.7725 Å, b = 23.9075 Å, c = 3.6834 Å
α = 90.00°, β = 90.00°, γ = 90.00°
Last column: nearest neighbours and their distance in Å.
Atoms (fractional coordinates):
Bi1 0.2500 0.0384 0.1165  2 Bi 3.13
Bi2 0.2500 0.4616 0.1165  2 Bi 3.13
Bi3 0.2500 0.7500 0.3009  6 Br 2.82-3.02
Bi4 0.7500 0.2500 0.6991  6 Br 2.82-3.02
Bi5 0.7500 0.5384 0.8835  2 Bi 3.13
Bi6 0.7500 0.9616 0.8835  2 Bi 3.13
Br1 0.2500 0.2500 0.1972  4 Bi 3.01-3.02
Br2 0.2500 0.6322 0.3181  1 Bi 2.82
Br3 0.2500 0.8678 0.3181  1 Bi 2.82
Br4 0.7500 0.1322 0.6819  1 Bi 2.82
Br5 0.7500 0.3678 0.6819  1 Bi 2.82
Br6 0.7500 0.7500 0.8028  4 Bi 3.01-3.02

First-principles (PBE-GGA) data for a relaxed BiBr crystal, as listed in Alexandria.

- DFT total energy (Ha/atom) = -0.119
- theoretical density (g/cm³) = 5.7
- E_form (uncorrected) (eV per atom) = -0.4672
- size of the total moment (μB/cell) = 0.000
- volume (Å³ per atom) = 42.32

a = 7.8196 Å, b = 7.8196 Å, c = 10.7723 Å
α = 100.93°, β = 100.93°, γ = 31.62°
Last column: nearest neighbours and their distance in Å.
Atoms (fractional coordinates):
Bi1 0.1767 0.1767 0.4881  3 Bi 3.04-3.09
Bi2 0.1786 0.1786 0.7750  4 Br 2.94-2.95, 1 Bi 3.09
Bi3 0.8214 0.8214 0.2250  4 Br 2.94-2.95, 1 Bi 3.09
Bi4 0.8233 0.8233 0.5119  3 Bi 3.04-3.09
Br1 0.1863 0.1863 0.1486  2 Bi 2.95
Br2 0.4580 0.4580 0.2819  2 Bi 2.94
Br3 0.5420 0.5420 0.7181  2 Bi 2.94
Br4 0.8137 0.8137 0.8514  2 Bi 2.95

First-principles (PBE-GGA) data for a relaxed BiBr crystal, as listed in Alexandria.

- DFT total energy (Ha/atom) = -0.111
- theoretical density (g/cm³) = 6.4
- E_form (uncorrected) (eV per atom) = -0.2363
- size of the total moment (μB/cell) = 0.000
- volume (Å³ per atom) = 37.55
- DOS(E_F) (states/eV/atom) = 0.342

a = 13.0688 Å, b = 13.0688 Å, c = 3.5180 Å
α = 90.00°, β = 90.00°, γ = 90.00°
Last column: nearest neighbours and their distance in Å.
Atoms (fractional coordinates):
Bi1 0.0261 0.1638 0.0000  2 Bi 3.06, 1 Br 3.26
Bi2 0.1638 0.9739 0.0000  2 Bi 3.06, 1 Br 3.26
Bi3 0.3024 0.5747 0.5000  4 Br 2.86-3.00
Bi4 0.4253 0.3024 0.5000  4 Br 2.86-3.00
Bi5 0.5747 0.6976 0.5000  4 Br 2.86-3.00
Bi6 0.6976 0.4253 0.5000  4 Br 2.86-3.00
Bi7 0.8362 0.0261 0.0000  2 Bi 3.06, 1 Br 3.26
Bi8 0.9739 0.8362 0.0000  2 Bi 3.06, 1 Br 3.26
Br1 0.1292 0.6411 0.0000  3 Bi 3.00-3.26
Br2 0.2173 0.3706 0.5000  2 Bi 2.86-2.89
Br3 0.3589 0.1292 0.0000  3 Bi 3.00-3.26
Br4 0.3706 0.7827 0.5000  2 Bi 2.86-2.89
Br5 0.6294 0.2173 0.5000  2 Bi 2.86-2.89
Br6 0.6411 0.8708 0.0000  3 Bi 3.00-3.26
Br7 0.7827 0.6294 0.5000  2 Bi 2.86-2.89
Br8 0.8708 0.3589 0.0000  3 Bi 3.00-3.26

First-principles (PBE-GGA) data for a relaxed BiBr crystal, as listed in Alexandria.

- DFT total energy (Ha/atom) = -0.110
- theoretical density (g/cm³) = 6.8
- E_form (uncorrected) (eV per atom) = -0.2211
- size of the total moment (μB/cell) = 0.000
- volume (Å³ per atom) = 35.47
- DOS(E_F) (states/eV/atom) = 0.443

a = 9.2125 Å, b = 9.2125 Å, c = 9.2125 Å
α = 92.03°, β = 92.03°, γ = 158.32°
Last column: nearest neighbours and their distance in Å.
Atoms (fractional coordinates):
Bi1 0.0811 0.8296 0.9107  2 Br 2.91-2.94
Bi2 0.1704 0.0811 0.2515  2 Br 2.91-2.94
Bi3 0.8296 0.9189 0.7485  2 Br 2.91-2.94
Bi4 0.9189 0.1704 0.0893  2 Br 2.91-2.94
Br1 0.1087 0.3000 0.4087  2 Bi 2.91-2.94
Br2 0.3000 0.8913 0.1913  2 Bi 2.91-2.94
Br3 0.7000 0.1087 0.8087  2 Bi 2.91-2.94
Br4 0.8913 0.7000 0.5913  2 Bi 2.91-2.94